Computed, not measured: crystalline LiCuRe2 at its relaxed geometry at the PBE level of DFT.

Lattice parameters (Å, degrees): 2.5455 2.5455 8.7271 90.00 90.00 90.00
Closest atoms and distances in Å follow each position.
Fractional positions:
Li: 0.0000 0.0000 0.0000  4 Li 2.55
Cu: 0.0000 0.0000 0.5000  4 Cu 2.55, 8 Re 2.76
Re: 0.5000 0.5000 0.2607  4 Re 2.55, 4 Cu 2.76
Re: 0.5000 0.5000 0.7393  4 Re 2.55, 4 Cu 2.76

Summary:
**SG**: No. 123

=====

Computed, not measured: crystalline LiCuRe2 at its relaxed geometry at the PBE level of DFT.

Lattice parameters (Å, degrees): 5.0882 5.0882 2.5558 97.58 97.58 119.62
Closest atoms and distances in Å follow each position.
Fractional positions:
Li: 0.0000 0.0000 0.0000  2 Li 2.56, 2 Cu 2.56, 4 Re 2.69
Cu: 0.5000 0.5000 0.0000  2 Cu 2.56, 2 Li 2.56, 4 Re 2.69
Re: 0.0000 0.5000 0.5000  4 Re 2.56, 2 Li 2.69, 2 Cu 2.69
Re: 0.5000 0.0000 0.5000  4 Re 2.56, 2 Li 2.69, 2 Cu 2.69

Summary:
**SG**: No. 12

=====

Computed, not measured: crystalline LiCuRe at its relaxed geometry at the PBE level of DFT.

Lattice parameters (Å, degrees): 6.6247 6.6247 6.6247 157.82 157.82 31.57
Closest atoms and distances in Å follow each position.
Fractional positions:
Li: 0.0000 0.0000 0.0000  4 Li 2.55, 4 Cu 2.76
Cu: 0.3356 0.3356 0.0000  4 Cu 2.55, 4 Re 2.73, 4 Li 2.76
Re: 0.6749 0.6749 0.0000  4 Re 2.55, 4 Cu 2.73

Summary:
**SG**: No. 107

=====

Computed, not measured: crystalline LiCuRe3 at its relaxed geometry at the PBE level of DFT.

Lattice parameters (Å, degrees): 4.4828 4.4828 4.4828 90.00 90.00 90.00
Closest atoms and distances in Å follow each position.
Fractional positions:
Li: 0.0000 0.0000 0.0000  12 Re 3.17
Cu: 0.5000 0.5000 0.5000  6 Re 2.24
Re: 0.0000 0.5000 0.5000  2 Cu 2.24
Re: 0.5000 0.0000 0.5000  2 Cu 2.24
Re: 0.5000 0.5000 0.0000  2 Cu 2.24

Summary:
**SG**: No. 221

=====

Computed, not measured: crystalline LiCuRe2 at its relaxed geometry at the PBE level of DFT.

Lattice parameters (Å, degrees): 2.5846 4.2829 5.0719 90.00 98.37 90.00
Closest atoms and distances in Å follow each position.
Fractional positions:
Li: 0.0000 0.0000 0.0000  2 Cu 2.41, 2 Li 2.58, 1 Re 2.62
Cu: 0.0614 0.5000 0.7896  2 Li 2.41, 2 Cu 2.58, 1 Re 2.67
Re: 0.4506 0.0000 0.4982  4 Re 2.53-2.58, 2 Li 2.62-2.73
Re: 0.6708 0.5000 0.2732  4 Re 2.53-2.58, 3 Cu 2.67-2.79, 2 Li 2.75

Summary:
**SG**: No. 6

=====

Computed, not measured: crystalline LiCu2Re at its relaxed geometry at the PBE level of DFT.

Lattice parameters (Å, degrees): 4.1923 4.1923 4.1923 60.00 60.00 60.00
Closest atoms and distances in Å follow each position.
Fractional positions:
Li: 0.0000 0.0000 0.0000  8 Cu 2.57
Cu: 0.2500 0.2500 0.2500  4 Re 2.57, 4 Li 2.57
Cu: 0.7500 0.7500 0.7500  4 Re 2.57, 4 Li 2.57
Re: 0.5000 0.5000 0.5000  8 Cu 2.57

Summary:
**SG**: No. 225

=====

Computed, not measured: crystalline LiCuRe at its relaxed geometry at the PBE level of DFT.

Lattice parameters (Å, degrees): 2.6579 2.6579 6.8563 90.00 90.00 120.00
Closest atoms and distances in Å follow each position.
Fractional positions:
Li: 0.0000 0.0000 0.0000  6 Li 2.66, 3 Cu 2.71, 3 Re 2.85
Cu: 0.3333 0.6667 0.6751  6 Cu 2.66, 3 Li 2.71, 3 Re 2.71
Re: 0.6667 0.3333 0.3500  6 Re 2.66, 3 Cu 2.71, 3 Li 2.85

Summary:
**SG**: No. 156

=====

Computed, not measured: crystalline Li2CuRe at its relaxed geometry at the PBE level of DFT.

Lattice parameters (Å, degrees): 4.9130 4.9130 4.6837 103.38 103.38 29.59
Closest atoms and distances in Å follow each position.
Fractional positions:
Li: 0.2403 0.2403 0.2513  6 Li 2.51-2.71, 2 Cu 2.62, 3 Re 2.76-2.80
Li: 0.7597 0.7597 0.7487  6 Li 2.51-2.71, 2 Cu 2.62, 3 Re 2.76-2.80
Cu: 0.5000 0.5000 0.0000  2 Cu 2.51, 4 Li 2.62, 4 Re 2.66
Re: 0.0000 0.0000 0.5000  2 Re 2.51, 4 Cu 2.66, 6 Li 2.76-2.80

Summary:
**SG**: No. 12

=====

Computed, not measured: crystalline LiCuRe3 at its relaxed geometry at the PBE level of DFT.

Lattice parameters (Å, degrees): 4.1106 4.1106 4.1106 90.00 90.00 90.00
Closest atoms and distances in Å follow each position.
Fractional positions:
Li: 0.0000 0.0000 0.0000  6 Re 2.06
Cu: 0.5000 0.5000 0.5000  12 Re 2.91
Re: 0.0000 0.0000 0.5000  2 Li 2.06
Re: 0.0000 0.5000 0.0000  2 Li 2.06
Re: 0.5000 0.0000 0.0000  2 Li 2.06

Summary:
**SG**: No. 221

=====

Computed, not measured: crystalline LiCu2Re at its relaxed geometry at the PBE level of DFT.

Lattice parameters (Å, degrees): 2.4964 4.0944 5.1925 90.00 90.00 90.00
Closest atoms and distances in Å follow each position.
Fractional positions:
Li: 0.0000 0.0000 0.0000  2 Li 2.50, 6 Cu 2.58-2.63
Cu: 0.0000 0.0000 0.5023  2 Cu 2.50, 2 Li 2.58-2.61, 4 Re 2.63
Cu: 0.5000 0.5000 0.7914  2 Cu 2.50, 2 Re 2.58-2.61, 4 Li 2.63
Re: 0.5000 0.5000 0.2936  2 Re 2.50, 6 Cu 2.58-2.63

Summary:
**SG**: No. 25

=====

Computed, not measured: crystalline LiCuRe2 at its relaxed geometry at the PBE level of DFT.

Lattice parameters (Å, degrees): 2.6478 2.6478 8.9324 90.00 90.00 112.20
Closest atoms and distances in Å follow each position.
Fractional positions:
Li: 0.0000 0.0000 0.0000  2 Cu 2.64, 6 Li 2.65-2.95, 2 Re 2.76
Cu: 0.5000 0.5000 0.2449  2 Li 2.64, 6 Cu 2.65-2.95, 2 Re 2.66
Re: 0.0000 0.0000 0.4923  8 Re 2.65-2.95, 2 Cu 2.66
Re: 0.5000 0.5000 0.7389  8 Re 2.65-2.95, 2 Li 2.76

Summary:
**SG**: No. 35

=====

Computed, not measured: crystalline LiCuRe at its relaxed geometry at the PBE level of DFT.

Lattice parameters (Å, degrees): 4.2863 4.2863 2.4576 90.00 90.00 120.00
Closest atoms and distances in Å follow each position.
Fractional positions:
Li: 0.0000 0.0000 0.0000  2 Li 2.46, 3 Cu 2.47
Cu: 0.6667 0.3333 0.0000  2 Cu 2.46, 3 Li 2.47
Re: 0.3333 0.6667 0.5000  2 Re 2.46

Summary:
**SG**: No. 187

=====

Computed, not measured: crystalline LiCu2Re at its relaxed geometry at the PBE level of DFT.

Lattice parameters (Å, degrees): 8.9390 8.9390 8.9390 17.22 17.22 17.22
Closest atoms and distances in Å follow each position.
Fractional positions:
Li: 0.0000 0.0000 0.0000  6 Li 2.68, 6 Cu 2.69
Cu: 0.2499 0.2499 0.2499  6 Cu 2.68, 3 Re 2.69, 3 Li 2.69
Cu: 0.7501 0.7501 0.7501  6 Cu 2.68, 3 Re 2.69, 3 Li 2.69
Re: 0.5000 0.5000 0.5000  6 Re 2.68, 6 Cu 2.69

Summary:
**SG**: No. 166

=====

Computed, not measured: crystalline LiCuRe2 at its relaxed geometry at the PBE level of DFT.

Lattice parameters (Å, degrees): 4.1835 4.1835 4.1835 60.00 60.00 60.00
Closest atoms and distances in Å follow each position.
Fractional positions:
Li: 0.0000 0.0000 0.0000  8 Re 2.56
Cu: 0.5000 0.5000 0.5000  8 Re 2.56
Re: 0.2500 0.2500 0.2500  4 Cu 2.56, 4 Li 2.56
Re: 0.7500 0.7500 0.7500  4 Cu 2.56, 4 Li 2.56

Summary:
**SG**: No. 225

=====

Computed, not measured: crystalline LiCuRe at its relaxed geometry at the PBE level of DFT.

Lattice parameters (Å, degrees): 7.1175 6.9351 2.5865 83.39 75.44 21.16
Closest atoms and distances in Å follow each position.
Fractional positions:
Li: 0.0000 0.0000 0.0000  6 Li 2.59-2.87, 2 Cu 2.64, 2 Re 2.76
Cu: 0.6630 0.6630 0.3370  6 Cu 2.59-2.87, 2 Li 2.64, 2 Re 2.65
Re: 0.3267 0.3267 0.6733  6 Re 2.59-2.87, 2 Cu 2.65, 2 Li 2.76

Summary:
**SG**: No. 42

=====

What did we get for VASP energy? Answer: -7.34 -7.41 -5.89 -6.60 -7.52 -5.15 -5.92 -4.85 -7.13 -5.32 -7.49 -5.72 -5.42 -7.00 -5.89 eV per atom, in the order shown.
What did we get for formation energy? Answer: 0.383 0.321 0.264 2.075 0.210 0.490 0.232 0.242 1.539 0.316 0.237 0.434 0.220 0.731 0.260 eV/atom, in the order shown.